Tb5ErGe4 | GGA-PBE | relaxed

Output
- SG: No. 12
- Energy relative to the elements: -0.637 eV per atom

a b c (Å): 4.9478 6.8986 10.5718
angles (deg): 130.47 103.53 90.00
Fractional coordinates of all 10 atoms:
1 Tb 0.8351 0.6763 0.6702
2 Tb 0.8353 0.1649 0.6706
3 Tb 0.1647 0.8351 0.3294
4 Tb 0.5000 0.5000 0.0000
5 Tb 0.1649 0.3237 0.3298
6 Er 0.5000 0.0000 0.0000
7 Ge 0.3218 0.8929 0.6437
8 Ge 0.9902 0.7332 0.9805
9 Ge 0.6782 0.1071 0.3563
10 Ge 0.0098 0.2668 0.0195

***

Nd3Zn4Ir2 | GGA-PBE | relaxed

Output
- SG: No. 12
- Energy relative to the elements: -0.501 eV per atom

a b c (Å): 4.3020 6.0107 8.5969
angles (deg): 69.98 75.51 69.03
Fractional coordinates of all 9 atoms:
1 Nd 0.3151 0.7245 0.6453
2 Nd 0.0000 0.0000 0.0000
3 Nd 0.6849 0.2755 0.3547
4 Zn 0.2820 0.3830 0.0529
5 Zn 0.7180 0.6170 0.9471
6 Zn 0.0319 0.3070 0.6293
7 Zn 0.9681 0.6930 0.3707
8 Ir 0.3936 0.9453 0.2674
9 Ir 0.6064 0.0547 0.7326

***

Rb3BaNb2O8 | GGA-PBE | relaxed

Output
- SG: No. 164
- Uncorrected formation energy: -2245 meV/atom

a b c (Å): 6.6148 6.6148 8.4102
angles (deg): 90.00 90.00 120.00
Site moments in Bohr magnetons follow the coordinates.
Fractional coordinates of all 14 atoms:
1 Rb 0.3333 0.6667 0.6792  0.00
2 Rb 0.6667 0.3333 0.3208  0.00
3 Rb 0.0000 0.0000 0.0000  0.00
4 Ba 0.0000 0.0000 0.5000  0.00
5 Nb 0.3333 0.6667 0.2202  -0.06
6 Nb 0.6667 0.3333 0.7798  -0.06
7 O 0.3333 0.6667 0.9974  0.24
8 O 0.6667 0.3333 0.0026  0.24
9 O 0.1798 0.8202 0.2994  0.09
10 O 0.8202 0.1798 0.7006  0.09
11 O 0.1798 0.3596 0.2994  0.09
12 O 0.8202 0.6404 0.7006  0.09
13 O 0.6404 0.8202 0.2994  0.09
14 O 0.3596 0.1798 0.7006  0.09

***

K2TaSiAu | GGA-PBE | relaxed

Output
- SG: No. 123
- Uncorrected formation energy: 1222 meV/atom

a b c (Å): 6.2826 4.5913 6.2826
angles (deg): 90.00 90.00 90.00
Site moments in Bohr magnetons follow the coordinates.
Fractional coordinates of all 5 atoms:
1 K 0.0000 0.0000 0.5000  0.02
2 K 0.5000 0.0000 0.0000  0.01
3 Au 0.0000 0.0000 0.0000  0.00
4 Si 0.0000 0.5000 0.0000  -0.05
5 Ta 0.5000 0.5000 0.5000  2.25